A plane-wave DFT calculation with PBE was carried out for a geometry-optimized CdTc7 structure.

For the formation energy, the calculation gives 0.34 eV/atom. As for the volume: 15.10 Å³/atom. For the calculated density, the calculation gives 10.98 g/cm³.

The space group is Fm-3m (No. 225) and the conventional cell measures 7.846, 7.846 and 7.846 Å, with angles of 90.00, 90.00 and 90.00 degrees. The inequivalent atoms are Cd at (0.000, 0.000, 0.000), Tc at (0.000, 0.000, 0.500) and Tc at (0.000, 0.250, 0.250).